Compound: Tl3C
Source: Alexandria
Functional: PBE
Structure: relaxed

Properties
Its size of the total moment is 0.01 Bohr magnetons per cell. As for the energy relative to the lowest polymorph listed for this composition: 0.474 eV/atom. The energy relative to the elements comes out at 1.06 eV/atom. Its space group is Imm2 (44).

```
4
Lattice="-3.235 4.808 -2.166 -0.404 -0.119 -6.172 -1.409 -2.607 5.430" Properties=species:S:1:pos:R:3 pbc="T T T"
C -4.450 2.109 3.128
Tl -2.435 2.636 -3.736
Tl -2.077 -0.313 -1.367
Tl -4.098 2.929 -0.749
```